Compound: AlGeW
Source: Alexandria
Functional: PBE-GGA
Structure: relaxed

Cell and atoms, written as extended XYZ:
```
3
Lattice="-1.6460 1.6460 4.2431 1.6460 -1.6460 4.2431 1.6460 1.6460 -4.2431" Properties=species:S:1:pos:R:3 pbc="T T T"
Al 0.0000 0.0000 0.0000
Ge 0.0000 0.0000 2.7972
W 0.0000 0.0000 5.7028
```

Calculated values
Symmetry: I4mm
ΔE_f (eV per atom): -0.05


Compound: P2OsCS
Source: Alexandria
Functional: PBE-GGA
Structure: relaxed

Cell and atoms, written as extended XYZ:
```
5
Lattice="3.8803 0.0000 0.0000 0.0000 3.8803 0.0000 0.0000 0.0000 4.0524" Properties=species:S:1:pos:R:3 pbc="T T T"
P 0.0000 1.9401 0.0000
P 1.9401 0.0000 0.0000
Os 0.0000 0.0000 2.0262
C 1.9401 1.9401 0.0000
S 1.9401 1.9401 2.0262
```

Calculated values
Symmetry: P4/mmm
ΔE_f (raw) (eV/atom): 1.24


Compound: HgSe2N
Source: Alexandria
Functional: PBE-GGA
Structure: relaxed

Cell and atoms, written as extended XYZ:
```
4
Lattice="1.5595 0.9004 9.4555 -1.5595 0.9004 9.4555 0.0000 -1.8007 9.4555" Properties=species:S:1:pos:R:3 pbc="T T T"
Hg 0.0000 0.0000 0.0000
Se 0.0000 0.0000 3.2588
Se 0.0000 0.0000 25.1077
N 0.0000 0.0000 14.1833
```

Calculated values
Symmetry: R-3m
ΔE_f (raw) (eV/atom): 1.00


Compound: Ca3Si6Pt20
Source: Alexandria
Functional: PBE-GGA
Structure: relaxed

Cell and atoms, written as extended XYZ:
```
29
Lattice="0.0000 6.1846 6.1846 6.1846 0.0000 6.1846 6.1846 6.1846 0.0000" Properties=species:S:1:pos:R:3 pbc="T T T"
Ca 0.0000 0.0000 0.0000
Ca 3.0923 3.0923 3.0923
Ca 9.2769 9.2769 9.2769
Si 6.1846 6.1846 3.3034
Si 6.1846 3.3034 6.1846
Si 9.0658 6.1846 6.1846
Si 3.3034 6.1846 6.1846
Si 6.1846 9.0658 6.1846
Si 6.1846 6.1846 9.0658
Pt 2.1374 2.1374 0.0000
Pt 4.0472 4.0472 0.0000
Pt 2.1374 0.0000 2.1374
Pt 6.1846 4.0472 2.1374
Pt 4.0472 0.0000 4.0472
Pt 6.1846 2.1374 4.0472
Pt 7.6127 4.7565 4.7565
Pt 0.0000 2.1374 2.1374
Pt 4.0472 6.1846 2.1374
Pt 4.0472 2.1374 6.1846
Pt 4.7565 4.7565 4.7565
Pt 7.6127 7.6127 4.7565
Pt 7.6127 4.7565 7.6127
Pt 4.7565 7.6127 4.7565
Pt 4.7565 4.7565 7.6127
Pt 7.6127 7.6127 7.6127
Pt 0.0000 4.0472 4.0472
Pt 2.1374 6.1846 4.0472
Pt 2.1374 4.0472 6.1846
Pt 4.7565 7.6127 7.6127
```

Calculated values
Symmetry: Fm-3m
ΔE_f (raw) (eV/atom): -0.69


Compound: TlPdAu
Source: Alexandria
Functional: PBE-GGA
Structure: relaxed

Cell and atoms, written as extended XYZ:
```
3
Lattice="4.6271 0.0000 0.0000 -2.3135 4.0072 0.0000 0.0000 0.0000 3.1314" Properties=species:S:1:pos:R:3 pbc="T T T"
Tl 0.0000 0.0000 0.0000
Pd 2.3135 1.3357 0.8971
Au 0.0000 2.6715 2.0833
```

Calculated values
Symmetry: P3m1
ΔE_f (eV per atom): 0.00


Compound: Cu3SiH
Source: Alexandria
Functional: PBE-GGA
Structure: relaxed

Cell and atoms, written as extended XYZ:
```
5
Lattice="3.7393 0.0000 0.0000 0.0000 3.7393 0.0000 0.0000 0.0000 3.7393" Properties=species:S:1:pos:R:3 pbc="T T T"
Cu 0.0000 0.0000 1.8697
Cu 0.0000 1.8697 0.0000
Cu 1.8697 0.0000 0.0000
Si 1.8697 1.8697 1.8697
H 0.0000 0.0000 0.0000
```

Calculated values
Symmetry: Pm-3m
Final energy (eV/cell): -20.308


Compound: Zn2NiIr
Source: Alexandria
Functional: PBE-GGA
Structure: relaxed

Cell and atoms, written as extended XYZ:
```
4
Lattice="2.6975 0.0000 0.0000 0.0000 4.1867 0.0000 -0.4155 0.0000 4.7583" Properties=species:S:1:pos:R:3 pbc="T T T"
Zn 0.4234 0.0000 1.2181
Zn 1.8587 0.0000 3.5402
Ni -0.2077 2.0933 2.3792
Ir 1.3488 2.0933 0.0000
```

Calculated values
Symmetry: P2/m
ΔE_f (eV per atom): -0.08


Compound: Pa3Te3S
Source: Alexandria
Functional: PBE-GGA
Structure: relaxed

Cell and atoms, written as extended XYZ:
```
14
Lattice="8.3447 0.0000 0.0000 0.0000 4.1095 0.0000 -0.0211 0.0000 11.6598" Properties=species:S:1:pos:R:3 pbc="T T T"
Pa 0.8091 1.0274 4.5084
Pa 1.0108 1.0274 9.9634
Pa 2.8170 3.0821 7.2608
Pa 5.5067 1.0274 4.3990
Pa 7.3128 3.0821 1.6964
Pa 7.5146 3.0821 7.1513
Te 1.2536 1.0274 1.4172
Te 3.1624 3.0821 4.1562
Te 3.2136 3.0821 10.2759
Te 5.1100 1.0274 1.3839
Te 5.1613 1.0274 7.5035
Te 7.0700 3.0821 10.2426
S 1.0000 1.0274 7.2422
S 7.3237 3.0821 4.4176
```

Calculated values
Symmetry: P2_1/m
ΔE_f (raw) (eV/atom): -1.02


Compound: BaDyReO6
Source: Alexandria
Functional: PBE-GGA
Structure: relaxed

Cell and atoms, written as extended XYZ:
```
9
Lattice="5.6258 0.0000 0.0000 -2.8129 4.8721 0.0000 0.0000 0.0000 5.6141" Properties=species:S:1:pos:R:3 pbc="T T T"
Ba 0.0000 0.0000 0.0000
Dy 0.0000 3.2480 2.8071
Re 2.8129 1.6240 2.8071
O 2.1354 0.2181 3.9046
O 1.2566 1.7403 1.7095
O 3.4904 0.2181 1.7095
O 1.9341 2.9137 3.9046
O 4.3692 1.7403 3.9046
O 3.6917 2.9137 1.7095
```

Calculated values
Symmetry: P312
ΔE_f (raw) (eV/atom): -2.49


Compound: Ta2AlAs
Source: Alexandria
Functional: PBE-GGA
Structure: relaxed

Cell and atoms, written as extended XYZ:
```
4
Lattice="-1.9619 1.9619 4.3750 1.9619 -1.9619 4.3750 1.9619 1.9619 -4.3750" Properties=species:S:1:pos:R:3 pbc="T T T"
Ta 0.0000 0.0000 0.0000
Ta 0.0000 1.9619 2.1875
Al 1.9619 0.0000 2.1875
As 0.0000 0.0000 4.3750
```

Calculated values
Symmetry: I-4m2
ΔE_f (eV per atom): -0.03


Compound: U3Tl3GaTe8
Source: Alexandria
Functional: PBE-GGA
Structure: relaxed

Cell and atoms, written as extended XYZ:
```
15
Lattice="4.4632 2.5769 8.0872 -4.4632 2.5769 8.0872 0.0000 -5.1537 8.0872" Properties=species:S:1:pos:R:3 pbc="T T T"
U -2.2316 -1.2884 8.0872
U -2.2316 1.2884 16.1744
U 0.0000 2.5769 8.0872
Tl -4.4632 0.0000 12.1308
Tl -2.2316 1.2884 4.0436
Tl 2.2316 1.2884 4.0436
Ga 0.0000 0.0000 0.0000
Te 0.0000 -2.5204 9.7456
Te -2.1828 1.2602 9.7456
Te 0.0000 0.0000 6.3418
Te -2.1828 -1.2602 14.5161
Te 2.1828 1.2602 9.7456
Te 0.0000 0.0000 17.9198
Te 2.1828 -1.2602 14.5161
Te 0.0000 2.5204 14.5161
```

Calculated values
Symmetry: R-3m
ΔE_f (raw) (eV/atom): -0.48


Compound: La6TbSm12
Source: Alexandria
Functional: PBE-GGA
Structure: relaxed

Cell and atoms, written as extended XYZ:
```
19
Lattice="8.3537 4.8230 2.8162 -8.3537 4.8230 2.8162 0.0000 -9.6460 2.8162" Properties=species:S:1:pos:R:3 pbc="T T T"
La -6.1915 -3.5747 4.3819
La 0.0000 -7.1493 4.0666
La -6.1915 3.5747 4.0666
La 6.1915 -3.5747 4.3819
La 0.0000 7.1493 4.3819
La 6.1915 3.5747 4.0666
Tb 0.0000 0.0000 4.2243
Sm -3.1587 -4.1750 2.8162
Sm -5.1950 -0.6480 2.8162
Sm 0.0000 -3.4872 2.9995
Sm -3.0200 1.7436 2.9995
Sm 3.1587 -4.1750 2.8162
Sm -2.0363 4.8230 2.8162
Sm -3.0200 -1.7436 5.4490
Sm 3.0200 1.7436 2.9995
Sm 5.1950 -0.6480 2.8162
Sm 2.0363 4.8230 2.8162
Sm 3.0200 -1.7436 5.4490
Sm 0.0000 3.4872 5.4490
```

Calculated values
Symmetry: R-3m
ΔE_f (eV per atom): 0.29